VASP calculation (PBE) on La2CuAuO5 after structural relaxation.

Calculated values
E_form (uncorrected)	-1839	meV per atom
magnetic moment	0.0	Bohr magnetons per cell
density	7.81	g/cm3

Lattice parameters (Å, degrees): 6.9444 6.9444 10.8098 90.00 90.00 149.71
With the nearest neighbours (Å) after each atom.
Element x y z (fractional)
La 0.1061 0.8939 0.5000  4 O 2.38-2.61
La 0.1399 0.8601 0.1426  3 O 2.27-2.50
La 0.8601 0.1399 0.6426  3 O 2.27-2.50
La 0.8939 0.1061 0.0000  4 O 2.38-2.61
Cu 0.2145 0.7855 0.8651  4 O 1.87-1.92
Cu 0.7855 0.2145 0.3651  4 O 1.87-1.92
Au 0.4503 0.5497 0.2821  3 O 2.13-2.36
Au 0.5497 0.4503 0.7821  3 O 2.13-2.36
O 0.0773 0.9227 0.9178  1 Cu 1.92
O 0.2743 0.7257 0.4063  2 Cu 1.87
O 0.3028 0.6972 0.0868  3 La 2.27-2.38
O 0.3483 0.6517 0.8083  1 Cu 1.90
O 0.4843 0.5157 0.6029  1 Au 2.13
O 0.5157 0.4843 0.1029  1 Au 2.13
O 0.6517 0.3483 0.3083  1 Cu 1.90
O 0.6972 0.3028 0.5868  3 La 2.27-2.38
O 0.7257 0.2743 0.9063  2 Cu 1.87
O 0.9227 0.0773 0.4178  1 Cu 1.92